w | ## HfPOsO2 (PBE-GGA)

Data for HfPOsO2 after structural relaxation.

abc: 3.8084 3.8084 5.0799
angles: 90.00 90.00 90.00
Positions (direct):
Hf 0.0000 0.0000 0.0000
P 0.5000 0.5000 0.0000
Os 0.5000 0.5000 0.5000
O 0.0000 0.5000 0.5000
O 0.5000 0.0000 0.5000

---

x | ## HfPOsO2 (PBE-GGA)

Data for HfPOsO2 after structural relaxation.

abc: 3.9119 3.9119 5.5777
angles: 90.00 90.00 90.00
Positions (direct):
Hf 0.0000 0.0000 0.0000
P 0.0000 0.0000 0.5000
Os 0.5000 0.5000 0.5000
O 0.0000 0.5000 0.0000
O 0.5000 0.0000 0.0000

---

According to the calculations, the structures order from most to least stable as x, w.

---

w | ## HfSc2OsO (PBE-GGA)

Data for HfSc2OsO after structural relaxation.

abc: 5.3458 5.3458 3.8095
angles: 90.00 90.00 90.00
Positions (direct):
Hf 0.0000 0.0000 0.0000
Sc 0.0000 0.5000 0.0000
Sc 0.5000 0.0000 0.0000
Os 0.5000 0.5000 0.5000
O 0.0000 0.0000 0.5000

---

x | ## HfSc2OsO (PBE-GGA)

Data for HfSc2OsO after structural relaxation.

abc: 4.2237 4.2237 4.5180
angles: 90.00 90.00 90.00
Positions (direct):
Hf 0.0000 0.0000 0.0000
Sc 0.0000 0.5000 0.5000
Sc 0.5000 0.0000 0.5000
Os 0.5000 0.5000 0.0000
O 0.0000 0.0000 0.5000

---

According to the calculations, the structures order from most to least stable as x, w.

---

w | ## HfP3O (PBE-GGA)

Data for HfP3O after structural relaxation.

abc: 4.9511 4.9511 4.9511
angles: 90.00 90.00 90.00
Positions (direct):
Hf 0.0000 0.0000 0.0000
P 0.0000 0.0000 0.5000
P 0.0000 0.5000 0.0000
P 0.5000 0.0000 0.0000
O 0.5000 0.5000 0.5000

---

x | ## HfP3O (PBE-GGA)

Data for HfP3O after structural relaxation.

abc: 4.1508 4.1508 4.1508
angles: 90.00 90.00 90.00
Positions (direct):
Hf 0.0000 0.0000 0.0000
P 0.0000 0.5000 0.5000
P 0.5000 0.0000 0.5000
P 0.5000 0.5000 0.0000
O 0.5000 0.5000 0.5000

---

According to the calculations, the structures order from most to least stable as x, w.

---

w | ## HfP2O7 (PBE-GGA)

Data for HfP2O7 after structural relaxation.

abc: 8.4735 8.4735 8.4735
angles: 90.00 90.00 90.00
Positions (direct):
Hf 0.0000 0.0000 0.0000
Hf 0.0000 0.5000 0.5000
Hf 0.5000 0.0000 0.5000
Hf 0.5000 0.5000 0.0000
P 0.1079 0.6079 0.8921
P 0.1079 0.8921 0.3921
P 0.3921 0.1079 0.8921
P 0.3921 0.3921 0.3921
P 0.6079 0.6079 0.6079
P 0.6079 0.8921 0.1079
P 0.8921 0.1079 0.6079
P 0.8921 0.3921 0.1079
O 0.0000 0.0000 0.5000
O 0.0000 0.5000 0.0000
O 0.0577 0.7223 0.4215
O 0.0577 0.7777 0.9215
O 0.0785 0.5577 0.7223
O 0.0785 0.9423 0.2223
O 0.2223 0.0785 0.9423
O 0.2223 0.4215 0.4423
O 0.2777 0.5785 0.9423
O 0.2777 0.9215 0.4423
O 0.4215 0.0577 0.7223
O 0.4215 0.4423 0.2223
O 0.4423 0.2223 0.4215
O 0.4423 0.2777 0.9215
O 0.5000 0.0000 0.0000
O 0.5000 0.5000 0.5000
O 0.5577 0.7223 0.0785
O 0.5577 0.7777 0.5785
O 0.5785 0.5577 0.7777
O 0.5785 0.9423 0.2777
O 0.7223 0.0785 0.5577
O 0.7223 0.4215 0.0577
O 0.7777 0.5785 0.5577
O 0.7777 0.9215 0.0577
O 0.9215 0.0577 0.7777
O 0.9215 0.4423 0.2777
O 0.9423 0.2223 0.0785
O 0.9423 0.2777 0.5785

---

x | ## HfP2O7 (PBE-GGA)

Data for HfP2O7 after structural relaxation.

abc: 5.4247 13.1111 10.1939
angles: 90.00 122.11 90.00
Positions (direct):
Hf 0.0884 0.1467 0.3403
Hf 0.0884 0.3533 0.8403
Hf 0.9116 0.6467 0.1597
Hf 0.9116 0.8533 0.6597
P 0.3142 0.6921 0.5664
P 0.3142 0.8079 0.0664
P 0.4525 0.0270 0.6967
P 0.4525 0.4730 0.1967
P 0.5475 0.5270 0.8033
P 0.5475 0.9730 0.3033
P 0.6858 0.1921 0.9336
P 0.6858 0.3079 0.4336
O 0.1263 0.7394 0.6203
O 0.1263 0.7606 0.1203
O 0.1474 0.6771 0.3920
O 0.1474 0.8229 0.8920
O 0.2203 0.5433 0.1873
O 0.2203 0.9567 0.6873
O 0.3076 0.0322 0.3051
O 0.3076 0.4678 0.8051
O 0.3259 0.1117 0.5758
O 0.3259 0.3883 0.0758
O 0.3964 0.5784 0.6346
O 0.3964 0.9216 0.1346
O 0.4028 0.2496 0.3744
O 0.4028 0.2504 0.8744
O 0.5972 0.7496 0.1256
O 0.5972 0.7504 0.6256
O 0.6036 0.0784 0.8654
O 0.6036 0.4216 0.3654
O 0.6741 0.6117 0.9242
O 0.6741 0.8883 0.4242
O 0.6924 0.5322 0.1949
O 0.6924 0.9678 0.6949
O 0.7797 0.0433 0.3127
O 0.7797 0.4567 0.8127
O 0.8526 0.1771 0.1080
O 0.8526 0.3229 0.6080
O 0.8737 0.2394 0.8797
O 0.8737 0.2606 0.3797

---

y | ## HfP2O7 (PBE-GGA)

Data for HfP2O7 after structural relaxation.

abc: 5.0863 7.1471 8.5499
angles: 91.68 94.51 105.15
Positions (direct):
Hf 0.0000 0.0000 0.0000
Hf 0.5000 0.5000 0.5000
P 0.0078 0.3665 0.7386
P 0.3766 0.7488 0.8103
P 0.6234 0.2512 0.1897
P 0.9922 0.6335 0.2614
O 0.0782 0.8054 0.1588
O 0.1778 0.3277 0.6072
O 0.1929 0.8840 0.8307
O 0.2054 0.5359 0.8568
O 0.2346 0.5609 0.3247
O 0.3679 0.1958 0.0744
O 0.4454 0.7267 0.6406
O 0.5546 0.2733 0.3594
O 0.6321 0.8042 0.9256
O 0.7654 0.4391 0.6753
O 0.7946 0.4641 0.1432
O 0.8071 0.1160 0.1693
O 0.8222 0.6723 0.3928
O 0.9218 0.1946 0.8412

---

According to the calculations, the structures order from most to least stable as x, w, y.

---

w | ## Hf2PO (PBE-GGA)

Data for Hf2PO after structural relaxation.

abc: 6.5093 6.5093 6.5093
angles: 132.06 132.06 70.14
Positions (direct):
Hf 0.0619 0.6250 0.9369
Hf 0.3750 0.3119 0.4369
Hf 0.6881 0.1250 0.0631
Hf 0.8750 0.9381 0.5631
P 0.2500 0.7500 0.5000
P 0.5000 0.5000 0.0000
O 0.0000 0.0000 0.0000
O 0.7500 0.2500 0.5000

---

x | ## Hf2PO (PBE-GGA)

Data for Hf2PO after structural relaxation.

abc: 4.3491 4.3491 4.3491
angles: 60.00 60.00 60.00
Positions (direct):
Hf 0.2500 0.2500 0.2500
Hf 0.7500 0.7500 0.7500
P 0.0000 0.0000 0.0000
O 0.5000 0.5000 0.5000

---

According to the calculations, the structures order from most to least stable as w, x.

---

w | ## HfP2PtO (PBE-GGA)

Data for HfP2PtO after structural relaxation.

abc: 5.0841 5.0841 3.8346
angles: 90.00 90.00 90.00
Positions (direct):
Hf 0.0000 0.0000 0.0000
P 0.0000 0.5000 0.0000
P 0.5000 0.0000 0.0000
Pt 0.5000 0.5000 0.5000
O 0.0000 0.0000 0.5000

---

x | ## HfP2PtO (PBE-GGA)

Data for HfP2PtO after structural relaxation.

abc: 4.7807 4.7807 3.7887
angles: 90.00 90.00 90.00
Positions (direct):
Hf 0.0000 0.0000 0.0000
P 0.0000 0.5000 0.5000
P 0.5000 0.0000 0.5000
Pt 0.5000 0.5000 0.5000
O 0.5000 0.5000 0.0000

---

According to the calculations, the structures order from most to least stable as w, x.

---

w | ## RbHfP2O (PBE-GGA)

Data for RbHfP2O after structural relaxation.

abc: 5.0691 5.0691 4.1149
angles: 90.00 90.00 90.00
Positions (direct):
Rb 0.0000 0.0000 0.0000
Hf 0.5000 0.5000 0.5000
P 0.0000 0.5000 0.0000
P 0.5000 0.0000 0.0000
O 0.0000 0.0000 0.5000

---

x | ## RbHfP2O (PBE-GGA)

Data for RbHfP2O after structural relaxation.

abc: 5.3408 5.3408 4.0908
angles: 90.00 90.00 90.00
Positions (direct):
Rb 0.0000 0.0000 0.0000
Hf 0.5000 0.5000 0.5000
P 0.0000 0.5000 0.5000
P 0.5000 0.0000 0.5000
O 0.5000 0.5000 0.0000

---

According to the calculations, the structures order from most to least stable as x, w.

---

w | ## HfReP2O (PBE-GGA)

Data for HfReP2O after structural relaxation.

abc: 5.0585 5.0585 3.8548
angles: 90.00 90.00 90.00
Positions (direct):
Hf 0.0000 0.0000 0.0000
Re 0.5000 0.5000 0.5000
P 0.0000 0.5000 0.0000
P 0.5000 0.0000 0.0000
O 0.0000 0.0000 0.5000

---

x | ## HfReP2O (PBE-GGA)

Data for HfReP2O after structural relaxation.

abc: 4.8152 4.8152 3.6599
angles: 90.00 90.00 90.00
Positions (direct):
Hf 0.0000 0.0000 0.0000
Re 0.5000 0.5000 0.5000
P 0.0000 0.5000 0.5000
P 0.5000 0.0000 0.5000
O 0.5000 0.5000 0.0000

---

According to the calculations, the structures order from most to least stable as x, w.